1.
NiPd14Au | PBE | relaxed

* energy of formation: 0.4 eV per formula unit
* D(E_F): 34.70 states/eV/f.u.

Cell: 5.573 5.573 9.193 Å, 90.00 90.00 120.17°
Fractional coordinates of all 16 atoms:
Ni  0.540  0.460  0.500
Pd  0.210  0.790  0.000
Pd  0.709  0.291  0.000
Pd  0.040  0.459  0.500
Pd  0.210  0.291  0.000
Pd  0.541  0.960  0.500
Pd  0.709  0.790  0.000
Pd  0.378  0.128  0.748
Pd  0.378  0.128  0.252
Pd  0.872  0.622  0.748
Pd  0.872  0.622  0.252
Pd  0.377  0.623  0.746
Pd  0.377  0.623  0.254
Pd  0.875  0.125  0.752
Pd  0.875  0.125  0.248
Au  0.040  0.960  0.500

2.
Sm6Co2Ge | PBE | relaxed

* energy of formation: -2.3 eV per formula unit
* D(E_F): 7.28 states/eV/f.u.

Cell: 8.452 8.452 8.452 Å, 107.04 109.29 112.12°
Fractional coordinates of all 18 atoms:
Sm  0.540  0.720  0.820
Sm  0.460  0.280  0.180
Sm  0.100  0.280  0.820
Sm  0.900  0.720  0.180
Sm  0.805  0.763  0.568
Sm  0.195  0.237  0.432
Sm  0.195  0.763  0.958
Sm  0.805  0.237  0.042
Sm  0.685  0.359  0.674
Sm  0.315  0.641  0.326
Sm  0.315  0.988  0.674
Sm  0.685  0.012  0.326
Co  0.500  0.388  0.888
Co  0.500  0.612  0.112
Co  0.659  0.000  0.659
Co  0.341  0.000  0.341
Ge  0.000  0.500  0.500
Ge  0.000  0.000  0.000

3.
CeZrInAu | PBE | relaxed

* energy of formation: -1.2 eV per formula unit
* D(E_F): 7.60 states/eV/f.u.

Cell: 5.165 5.165 5.165 Å, 60.00 60.00 60.00°
Fractional coordinates of all 4 atoms:
Au  0.000  0.000  0.000
Zr  0.250  0.250  0.250
Ce  0.750  0.750  0.750
In  0.500  0.500  0.500

4.
AcTb4Y10 | PBE | relaxed

* energy of formation: 8.0 eV per formula unit
* D(E_F): 31.25 states/eV/f.u.

Cell: 6.641 9.683 9.683 Å, 83.25 69.95 69.95°
Fractional coordinates of all 15 atoms:
Ac  0.000  0.000  0.000
Tb  0.433  0.892  0.242
Tb  0.675  0.758  0.892
Tb  0.325  0.242  0.108
Tb  0.567  0.108  0.758
Y  0.250  0.500  0.500
Y  0.620  0.422  0.837
Y  0.958  0.163  0.422
Y  0.543  0.837  0.578
Y  0.879  0.578  0.163
Y  0.380  0.578  0.163
Y  0.750  0.500  0.500
Y  0.121  0.422  0.837
Y  0.457  0.163  0.422
Y  0.042  0.837  0.578

5.
DyYPS | PBE | relaxed

* D(E_F): 1.52 states/eV/f.u.
* raw formation energy: -1.876 eV per atom

Cell: 3.962 3.962 6.889 Å, 73.29 73.29 60.00°
Fractional coordinates of all 4 atoms:
Dy  0.197  0.197  0.408
Y  0.691  0.691  0.927
P  0.944  0.944  0.168
S  0.444  0.444  0.667

6.
InAgRh2 | PBE | relaxed

* energy of formation: 0.0 eV per formula unit
* D(E_F): 4.11 states/eV/f.u.

Cell: 4.948 4.948 4.833 Å, 78.39 78.39 34.93°
Fractional coordinates of all 4 atoms:
In  0.744  0.744  0.760
Ag  0.504  0.504  0.490
Rh  0.995  0.995  0.004
Rh  0.258  0.258  0.246

7.
InTcCl2 | PBE | relaxed

* D(E_F): 1.74 states/eV/f.u.
* distance to the lowest polymorph of the same formula: 210 meV per atom
* raw formation energy: -0.072 eV per atom

Cell: 3.412 3.412 9.498 Å, 90.00 90.00 122.60°
Fractional coordinates of all 4 atoms:
Cl  0.000  0.000  0.927
Cl  0.500  0.500  0.306
Tc  0.500  0.500  0.750
In  0.000  0.000  0.517

8.
AlSbPPt2 | PBE | relaxed

* D(E_F): 3.69 states/eV/f.u.
* distance to the lowest polymorph of the same formula: 0 meV per atom
* raw formation energy: 0.162 eV per atom

Cell: 4.654 4.569 4.654 Å, 90.00 90.00 90.00°
Fractional coordinates of all 5 atoms:
Sb  0.500  0.500  0.500
Al  0.000  0.500  0.000
Pt  0.000  0.000  0.500
Pt  0.500  0.000  0.000
P  0.000  0.000  0.000

9.
Cs2GeTe4As | PBE | relaxed

* D(E_F): 1.90 states/eV/f.u.
* raw formation energy: -0.474 eV per atom

Cell: 6.789 8.604 13.439 Å, 84.28 75.37 66.77°
Fractional coordinates of all 16 atoms:
Cs  0.185  0.000  0.630
Cs  0.815  0.000  0.370
Cs  0.565  0.500  0.870
Cs  0.935  0.500  0.130
Ge  0.250  0.500  0.500
Ge  0.500  0.000  0.000
Te  0.285  0.807  0.122
Te  0.214  0.193  0.878
Te  0.908  0.807  0.878
Te  0.593  0.193  0.122
Te  0.465  0.693  0.378
Te  0.536  0.307  0.622
Te  0.842  0.693  0.622
Te  0.157  0.307  0.378
As  0.750  0.500  0.500
As  0.000  0.000  0.000

10.
Ba2FeRh | PBE | relaxed

* energy of formation: 1.1 eV per formula unit
* D(E_F): 5.19 states/eV/f.u.
* distance to the lowest polymorph of the same formula: 138 meV per atom

Cell: 3.600 3.598 9.432 Å, 90.00 90.00 90.00°
Fractional coordinates of all 4 atoms:
Ba  0.000  0.000  0.915
Ba  0.500  0.500  0.337
Fe  0.000  0.000  0.596
Rh  0.500  0.500  0.653

11.
Ba4DyU3O12 | PBE | relaxed

* D(E_F): 10.57 states/eV/f.u.
* raw formation energy: -3.133 eV per atom

Cell: 7.681 7.681 7.681 Å, 109.47 109.47 109.47°
Fractional coordinates of all 20 atoms:
Ba  0.500  0.500  0.500
Ba  0.000  0.000  0.500
Ba  0.500  0.000  0.000
Ba  0.000  0.500  0.000
Dy  0.000  0.000  0.000
U  0.500  0.000  0.500
U  0.500  0.500  0.000
U  0.000  0.500  0.500
O  0.250  0.500  0.750
O  0.744  0.000  0.744
O  0.256  0.000  0.256
O  0.750  0.500  0.250
O  0.744  0.744  0.000
O  0.256  0.256  0.000
O  0.750  0.250  0.500
O  0.250  0.750  0.500
O  0.500  0.250  0.750
O  0.000  0.744  0.744
O  0.500  0.750  0.250
O  0.000  0.256  0.256

12.
CsCe2S4 | PBE | relaxed

* D(E_F): 9.18 states/eV/f.u.
* distance to the lowest polymorph of the same formula: 0 meV per atom
* raw formation energy: -1.762 eV per atom

Cell: 4.193 7.225 14.293 Å, 90.00 90.00 106.87°
Fractional coordinates of all 14 atoms:
Cs  0.609  0.218  0.750
Cs  0.391  0.782  0.250
Ce  0.135  0.269  0.433
Ce  0.865  0.731  0.933
Ce  0.135  0.269  0.067
Ce  0.865  0.731  0.567
S  0.759  0.519  0.098
S  0.759  0.519  0.402
S  0.241  0.481  0.902
S  0.241  0.481  0.598
S  0.910  0.820  0.750
S  0.090  0.180  0.250
S  0.500  0.000  0.000
S  0.500  0.000  0.500

13.
BiSbCl2 | PBE | relaxed

* D(E_F): 4.37 states/eV/f.u.
* distance to the lowest polymorph of the same formula: 557 meV per atom
* raw formation energy: 0.068 eV per atom

Cell: 5.228 5.228 5.228 Å, 60.00 60.00 60.00°
Fractional coordinates of all 4 atoms:
Sb  0.000  0.000  0.000
Bi  0.500  0.500  0.500
Cl  0.250  0.250  0.250
Cl  0.750  0.750  0.750

14.
CsPaZnSe4 | PBE | relaxed

* raw formation energy: -1.156 eV per atom

Cell: 6.626 7.022 10.035 Å, 90.00 110.92 90.00°
Fractional coordinates of all 14 atoms:
Cs  0.755  0.750  0.953
Cs  0.245  0.250  0.047
Pa  0.771  0.750  0.447
Pa  0.229  0.250  0.553
Zn  0.224  0.750  0.345
Zn  0.776  0.250  0.655
Se  0.037  0.515  0.687
Se  0.963  0.015  0.313
Se  0.963  0.485  0.313
Se  0.037  0.985  0.687
Se  0.426  0.750  0.187
Se  0.574  0.250  0.813
Se  0.482  0.750  0.588
Se  0.518  0.250  0.412

15.
Pr3Cu3Pd | PBE | relaxed

* energy of formation: -2.2 eV per formula unit
* D(E_F): 6.29 states/eV/f.u.

Cell: 4.357 3.916 10.015 Å, 101.27 102.56 90.00°
Fractional coordinates of all 7 atoms:
Pr  0.319  0.819  0.638
Pr  0.684  0.184  0.368
Pr  0.999  0.999  0.998
Cu  0.136  0.636  0.272
Cu  0.858  0.358  0.716
Cu  0.568  0.568  0.137
Pd  0.436  0.436  0.872

16.
Tb3Ga2Rh | PBE | relaxed

* energy of formation: -4.0 eV per formula unit
* D(E_F): 6.03 states/eV/f.u.

Cell: 4.248 11.314 11.898 Å, 90.00 90.00 90.00°
Fractional coordinates of all 24 atoms:
Tb  0.250  0.375  0.047
Tb  0.750  0.625  0.953
Tb  0.750  0.875  0.453
Tb  0.250  0.125  0.547
Tb  0.250  0.700  0.229
Tb  0.750  0.300  0.771
Tb  0.750  0.200  0.271
Tb  0.250  0.800  0.729
Tb  0.250  0.443  0.384
Tb  0.750  0.557  0.616
Tb  0.750  0.943  0.116
Tb  0.250  0.057  0.884
Ga  0.250  0.697  0.491
Ga  0.750  0.303  0.509
Ga  0.750  0.197  0.009
Ga  0.250  0.803  0.991
Ga  0.250  0.992  0.308
Ga  0.750  0.008  0.692
Ga  0.750  0.492  0.192
Ga  0.250  0.508  0.808
Rh  0.250  0.121  0.125
Rh  0.750  0.879  0.875
Rh  0.750  0.621  0.375
Rh  0.250  0.379  0.625

| no. | final energy (Ry per atom) |
| --- | --- |
| 1 | -0.3738 |
| 2 | -0.4038 |
| 3 | -0.3980 |
| 4 | -0.3883 |
| 5 | -0.5165 |
| 6 | -0.3738 |
| 7 | -0.3140 |
| 8 | -0.3609 |
| 9 | -0.2511 |
| 10 | -0.3407 |
| 11 | -0.6186 |
| 12 | -0.4364 |
| 13 | -0.2099 |
| 14 | -0.3533 |
| 15 | -0.3576 |
| 16 | -0.3839 |